## AcZnSnAu2 (PBE-GGA)

Data for an optimized crystal structure of AcZnSnAu2.

Values from the calculation:
- M_tot: 0.000 μB per formula unit
- Calculated volume: 120.08 Å³/f.u.
- SG: No. 119
- Energy: -3.79 eV per atom

abc: 6.8429 6.8429 6.8429
angles: 142.10 142.10 54.68
With the nearest neighbours (Å) after each atom.
Positions (direct):
Ac 0.0000 0.0000 0.0000  8 Au 3.44, 4 Sn 3.77, 4 Zn 3.77
Zn 0.7500 0.2500 0.5000  4 Au 2.77
Sn 0.2500 0.7500 0.5000  4 Au 2.77
Au 0.3857 0.3857 0.0000  2 Sn 2.77, 2 Zn 2.77, 1 Au 2.78
Au 0.6143 0.6143 0.0000  2 Sn 2.77, 2 Zn 2.77, 1 Au 2.78

---

## Ac2ZnSn2Au4 (PBE-GGA)

Data for an optimized crystal structure of Ac2ZnSn2Au4.

Values from the calculation:
- M_tot: 0.000 μB per formula unit
- Calculated volume: 227.39 Å³/f.u.
- SG: No. 139
- Energy: -3.95 eV per atom

abc: 6.8330 6.8330 6.8330
angles: 119.46 119.46 90.94
With the nearest neighbours (Å) after each atom.
Positions (direct):
Ac 0.2500 0.7500 0.5000  8 Au 3.42, 4 Sn 3.49
Ac 0.7500 0.2500 0.5000  8 Au 3.42, 4 Sn 3.49
Zn 0.0000 0.0000 0.0000  4 Au 2.60
Sn 0.3108 0.3108 0.0000  4 Au 2.91, 1 Zn 2.98
Sn 0.6892 0.6892 0.0000  4 Au 2.91, 1 Zn 2.98
Au 0.2665 0.2665 0.5330  1 Zn 2.60
Au 0.2665 0.7335 0.0000  1 Zn 2.60
Au 0.7335 0.2665 0.0000  1 Zn 2.60
Au 0.7335 0.7335 0.4670  1 Zn 2.60

---

- Which of these has the lowest calculated volume?
  AcZnSnAu2

---

Copy entry 2 word for word.
## Ac2ZnSn2Au4 (PBE-GGA)

Data for an optimized crystal structure of Ac2ZnSn2Au4.

Values from the calculation:
- M_tot: 0.000 μB per formula unit
- Calculated volume: 227.39 Å³/f.u.
- SG: No. 139
- Energy: -3.95 eV per atom

abc: 6.8330 6.8330 6.8330
angles: 119.46 119.46 90.94
With the nearest neighbours (Å) after each atom.
Positions (direct):
Ac 0.2500 0.7500 0.5000  8 Au 3.42, 4 Sn 3.49
Ac 0.7500 0.2500 0.5000  8 Au 3.42, 4 Sn 3.49
Zn 0.0000 0.0000 0.0000  4 Au 2.60
Sn 0.3108 0.3108 0.0000  4 Au 2.91, 1 Zn 2.98
Sn 0.6892 0.6892 0.0000  4 Au 2.91, 1 Zn 2.98
Au 0.2665 0.2665 0.5330  1 Zn 2.60
Au 0.2665 0.7335 0.0000  1 Zn 2.60
Au 0.7335 0.2665 0.0000  1 Zn 2.60
Au 0.7335 0.7335 0.4670  1 Zn 2.60

---

- energy of number 2 (Ac2ZnSn2Au4)?
  -3.95 eV per atom

---

- calculated volume of number 1 (AcZnSnAu2)?
  120.08 Å³/f.u.